Entry 1:
Density functional theory data (PBE-GGA) for crystalline MgSc2H at its relaxed geometry.

Geometry as extended XYZ:
```
4
Lattice="0.0000 3.3967 3.3967 3.3967 0.0000 3.3967 3.3967 3.3967 0.0000" Properties=species:S:1:pos:R:3 pbc="T T T"
Sc 1.6984 1.6984 1.6984
Sc 5.0951 5.0951 5.0951
H 0.0000 0.0000 0.0000
Mg 3.3967 3.3967 3.3967
```

**D(E_F)**: 4.51 states/eV/cell
**SG**: Fm-3m, No. 225
**Offset from the most stable computed form**: 0.648 eV per atom

---

Entry 2:
Density functional theory data (PBE-GGA) for crystalline TmZnInCo at its relaxed geometry.

Geometry as extended XYZ:
```
4
Lattice="-3.5556 -1.6534 -2.5391 0.5269 -3.9234 -2.4804 -2.1924 -3.9088 1.3181" Properties=species:S:1:pos:R:3 pbc="T T T"
Zn 0.0000 0.0000 0.0000
Tm -3.9159 -7.1143 -2.7760
Co -2.6106 -4.7429 -1.8507
In -1.3053 -2.3714 -0.9253
```

**D(E_F)**: 3.12 states/eV/cell
**SG**: F-43m, No. 216
**DFT formation energy**: -158 meV/atom

---

Entry 3:
Density functional theory data (PBE-GGA) for crystalline RbHf3V at its relaxed geometry.

Geometry as extended XYZ:
```
5
Lattice="5.1230 0.0000 0.0000 0.0000 5.1230 0.0000 0.0000 0.0000 5.1230" Properties=species:S:1:pos:R:3 pbc="T T T"
Hf 0.0000 2.5615 0.0000
Hf 0.0000 0.0000 2.5615
Hf 2.5615 0.0000 0.0000
Rb 2.5615 2.5615 2.5615
V 0.0000 0.0000 0.0000
```

**D(E_F)**: 8.56 states/eV/cell
**SG**: Pm-3m, No. 221
**Offset from the most stable computed form**: 0.000 eV per atom
**DFT formation energy**: 1071 meV/atom